1.
Rb8SeO4: relaxed, PBE.

The structure in extended XYZ format:
```
13
Lattice="-3.9990 6.7804 3.0302 -4.2063 -7.2434 -0.9945 6.0631 -2.1241 6.3483" Properties=species:S:1:pos:R:3 pbc="T T T"
Rb -1.6077 -2.8554 1.1390
Se 0.9284 -4.6838 2.6769
Rb -2.5252 -3.3200 6.6736
O -1.9902 -0.1123 0.4938
O 1.9463 1.2599 8.1314
Rb -3.7666 0.6962 2.5833
Rb -1.7533 4.1425 3.2133
Rb -0.3889 -6.7296 5.1708
Rb 1.6244 -3.2833 5.8007
Rb 0.3830 0.7329 1.7104
O -6.2150 -0.3507 1.5419
O -4.0885 -3.8470 0.2526
Rb -0.5345 0.2683 7.2450
```

## Properties
Electronic total energy in eV/f.u.: -42.63
Symmetry: C2/m
Spin magnetization in μB/f.u.: 2.1

---

2.
RbSeO4: relaxed, PBE.

The structure in extended XYZ format:
```
18
Lattice="4.3932 -0.0047 0.0202 0.0123 7.8364 -0.0057 -2.0933 -3.9026 10.0888" Properties=species:S:1:pos:R:3 pbc="T T T"
O -0.1292 4.6880 5.2253
O 1.7936 5.9591 0.7557
O 3.7195 5.9712 1.9951
Rb 0.3797 3.0684 7.9743
O 1.7921 4.6844 4.0634
O 1.0406 0.1669 2.5089
O -0.1373 -1.8638 8.5377
O 2.5107 2.7244 5.9337
O 2.2906 3.8825 10.0610
O 2.3302 -1.8524 7.3176
O 3.5399 2.7166 3.3841
Se 1.1245 -0.8314 7.9952
Se 0.5335 6.9946 1.2964
Rb 1.2772 3.0577 1.3194
O 0.6068 0.1759 6.7863
Rb 3.0207 -0.2449 4.6578
Se 3.0266 3.6437 4.6566
O 1.6685 -0.0351 9.3383
```

## Properties
Electronic total energy in eV/f.u.: -29.24
Symmetry: C2
Spin magnetization in μB/f.u.: 1.1

---

3.
Rb2Se2O7: relaxed, PBE.

The structure in extended XYZ format:
```
11
Lattice="5.4481 -0.1566 -0.3604 -0.5439 6.5217 -1.9137 -0.1575 -0.1273 6.8153" Properties=species:S:1:pos:R:3 pbc="T T T"
O 1.3610 0.5511 2.1007
Rb -0.2740 1.8769 4.1841
O 3.3857 5.6867 2.4406
O 3.5867 2.0041 1.3678
O 2.7240 -0.0783 -0.1802
O 3.4832 4.0101 4.6416
Se 2.5544 4.9582 3.6637
O 1.1601 4.2337 3.1735
Rb -0.4274 4.5174 0.7176
O 1.2636 2.2276 -0.1003
Se 2.1924 1.2796 0.8776
```

## Properties
Electronic total energy in eV/f.u.: -55.26
Polymorph energy (0 for the lowest one) in meV per atom: 50
Symmetry: C2/m
Spin magnetization in μB/f.u.: 0.2

---

4.
RbSiSe2O8: relaxed, PBE.

The structure in extended XYZ format:
```
12
Lattice="4.9378 -0.2256 0.0749 2.0776 4.4851 0.0749 0.4412 0.2679 8.3412" Properties=species:S:1:pos:R:3 pbc="T T T"
O 4.4565 0.8845 1.4076
O 2.8405 3.5460 1.4076
O 5.4664 3.3190 0.3266
O 1.9901 1.2083 8.1644
O 4.6160 0.9814 7.0834
O 2.5540 1.5507 5.3834
Si 0.0000 0.0000 0.0000
O 4.9025 2.9766 3.1076
Se 3.0207 1.8340 6.9376
Rb 0.2206 0.1339 4.1706
Se 4.4359 2.6933 1.5534
O 3.0001 3.6429 7.0834
```

## Properties
Electronic total energy in eV/f.u.: -66.79
Symmetry: C2/m
Spin magnetization in μB/f.u.: 0.0

---

5.
Rb2Sm4Se3O2: relaxed, PBE.

The structure in extended XYZ format:
```
11
Lattice="4.7373 0.0000 0.0000 0.0000 4.7373 0.0000 -2.3686 -2.3686 12.8275" Properties=species:S:1:pos:R:3 pbc="T T T"
O 0.0000 0.0000 10.5210
Se 2.3686 2.3686 8.9046
Sm 2.3686 0.0000 1.8795
O 2.3686 2.3686 2.3065
Se 0.0000 0.0000 3.9229
Se 0.0000 0.0000 0.0000
Sm 2.3686 0.0000 10.9480
Rb 2.3686 2.3686 5.1159
Sm 0.0000 2.3686 10.9480
Rb 0.0000 0.0000 7.7116
Sm 0.0000 2.3686 1.8795
```

## Properties
Electronic total energy in eV/f.u.: -61.18
Symmetry: I4/mmm
Spin magnetization in μB/f.u.: 0.0

---

6.
RbSmSeO6: relaxed, PBE.

The structure in extended XYZ format:
```
9
Lattice="5.7117 0.0003 0.0003 2.8562 4.9463 -0.0002 0.0003 -0.0007 6.0534" Properties=species:S:1:pos:R:3 pbc="T T T"
O 3.5462 0.3411 1.9896
O 3.6433 2.8998 1.9890
Se 2.8560 1.6486 3.0266
O 2.1656 0.3413 4.0643
O 1.3787 1.7044 1.9891
Sm 5.7118 3.2974 3.0268
O 2.0689 2.9001 4.0638
Rb 8.5676 4.9466 0.0002
O 4.3332 1.7047 4.0644
```

## Properties
Electronic total energy in eV/f.u.: -50.66
Symmetry: P312
Spin magnetization in μB/f.u.: 2.0

---

7.
RbSm2SeO5: relaxed, PBE.

The structure in extended XYZ format:
```
18
Lattice="6.8119 0.0000 0.0000 0.0000 6.8119 0.0000 -3.4059 -3.4059 6.1204" Properties=species:S:1:pos:R:3 pbc="T T T"
O 5.9042 2.4982 1.4275
O 3.4059 3.4059 0.0000
Sm 2.2077 5.6136 0.0000
O -0.9077 -2.4982 4.6929
O -2.4982 0.9077 4.6929
Sm 4.6041 1.1982 0.0000
O 0.9077 2.4982 4.6929
O 2.4982 -0.9077 4.6929
Sm 1.1982 2.2077 0.0000
Rb 3.4059 3.4059 3.0602
Se 3.4059 0.0000 3.0602
O 4.3136 5.9042 1.4275
Sm 5.6136 4.6041 0.0000
Rb 0.0000 0.0000 3.0602
O 2.4982 0.9077 1.4275
Se 0.0000 3.4059 3.0602
O 0.0000 0.0000 0.0000
O 0.9077 4.3136 1.4275
```

## Properties
Electronic total energy in eV/f.u.: -57.29
Symmetry: I4/mcm
Spin magnetization in μB/f.u.: 0.9

---

8.
Rb2Sn2Se2O: relaxed, PBE.

The structure in extended XYZ format:
```
7
Lattice="7.3908 -0.1172 -0.8949 3.0456 6.1504 1.2201 -1.5814 3.0862 6.7840" Properties=species:S:1:pos:R:3 pbc="T T T"
Rb 3.9741 8.3249 5.8885
O 0.0000 0.0000 0.0000
Se 5.9231 4.0155 2.2912
Sn 3.1655 4.3418 2.1524
Sn 5.6895 4.7777 4.9568
Se 2.9320 5.1040 4.8180
Rb 4.8809 0.7945 1.2207
```

## Properties
Electronic total energy in eV/f.u.: -28.60
Symmetry: P-1
Spin magnetization in μB/f.u.: 0.0

---

9.
Rb2SnSeO: relaxed, PBE.

The structure in extended XYZ format:
```
10
Lattice="-3.6211 -1.8833 1.2948 2.9855 -0.5804 7.5049 -4.5783 8.5155 -0.4181" Properties=species:S:1:pos:R:3 pbc="T T T"
Sn -1.9557 -0.4838 4.4475
Rb -4.6738 7.1616 0.8859
Rb -1.8778 2.6167 2.0946
O -2.7587 -0.1998 2.6148
Sn -3.2582 6.5356 3.9341
Se -0.4068 1.8580 5.1050
Se -4.8071 4.1938 3.2767
O -2.4551 6.2516 5.7669
Rb -0.5401 -1.1098 7.4957
Rb -3.3361 3.4352 6.2870
```

## Properties
Electronic total energy in eV/f.u.: -19.80
Symmetry: P2_1/m
Spin magnetization in μB/f.u.: 0.0

---

10.
RbSrSe2O8: relaxed, PBE.

The structure in extended XYZ format:
```
12
Lattice="-0.5531 -5.1338 -3.0369 4.8688 -2.8319 -2.0076 1.8444 -6.1784 4.2003" Properties=species:S:1:pos:R:3 pbc="T T T"
O 5.2870 -11.7885 -1.4654
O 2.8903 -5.5291 -2.9960
O 5.5403 -9.4370 -0.0744
O 3.1125 -3.6571 -0.2928
Rb 3.0801 -7.0721 -0.4221
Se 4.6519 -10.8476 -0.2342
O 0.8732 -2.3556 0.6211
O 3.2699 -8.6151 2.1517
O 0.6198 -4.7071 -0.7699
O 3.0476 -10.4870 -0.5515
Se 1.5083 -3.2965 -0.6101
Sr 0.0000 0.0000 0.0000
```

## Properties
Electronic total energy in eV/f.u.: -64.17
Symmetry: C2/m
Spin magnetization in μB/f.u.: 1.1

---

11.
RbSrSe2O6: relaxed, PBE.

The structure in extended XYZ format:
```
20
Lattice="-6.5647 3.2131 0.1441 -1.6821 -6.5028 2.8853 3.4291 3.3663 5.8239" Properties=species:S:1:pos:R:3 pbc="T T T"
O -1.7967 -2.4288 6.7556
Se -4.5626 0.7471 6.2453
Se 0.4952 2.9315 4.9787
O -5.3987 -1.3208 4.6386
O 0.5810 1.3976 4.2147
O -3.0210 2.5055 2.0978
Rb -1.7099 -3.8999 3.8443
O -1.4524 -0.9940 3.8024
O -6.1005 1.0404 2.3899
O -4.0712 -2.6196 2.7052
O -3.3653 1.0707 5.0509
O 1.2828 -0.9637 6.4634
Se -0.2551 -0.6704 2.6081
O -3.6211 0.2370 7.5859
Se -5.3129 -2.8548 3.8746
Rb -3.1077 3.9766 5.0090
Sr -1.1170 0.0152 6.1266
O -1.1966 -0.1602 1.2674
Sr -3.7007 0.0615 2.7267
O -0.7465 2.6963 6.1481
```

## Properties
Electronic total energy in eV/f.u.: -53.98
Symmetry: C2/c
Spin magnetization in μB/f.u.: 0.0

---

12.
Rb3SrSe2O6: relaxed, PBE.

The structure in extended XYZ format:
```
12
Lattice="-0.0611 -4.6893 4.0579 2.8084 -0.6838 -5.4868 6.4432 2.5003 2.9864" Properties=species:S:1:pos:R:3 pbc="T T T"
Rb 0.0000 0.0000 0.0000
O 4.9893 -0.1523 2.5728
Se 6.0798 -1.3423 3.2793
O 6.1866 -2.4940 1.9500
O 4.2278 -0.6769 -2.7838
O 3.0039 -0.3788 -0.3925
Rb 6.1803 -0.3394 -0.2990
Se 3.1107 -1.5305 -1.7218
O 4.9626 -2.1960 4.3413
Sr 3.2216 1.2501 1.4932
O 4.2012 -2.7206 -1.0153
Rb 3.0102 -2.5335 1.8565
```

## Properties
Electronic total energy in eV/f.u.: -59.11
Symmetry: P-3m1
Spin magnetization in μB/f.u.: 1.0